Sm3GaBrCl: relaxed, PBE.

Fermi-level density of states	10.08	states/eV per cell
formation energy from raw total energies	-1106	meV/atom
crystal system	monoclinic

Structure (CIF):
```
data_Sm3GaBrCl
_cell_length_a 9.115
_cell_length_b 3.956
_cell_length_c 9.581
_cell_angle_alpha 90.00
_cell_angle_beta 103.43
_cell_angle_gamma 90.00
_space_group_name_H-M_alt 'P 1 21/m 1'
_space_group_IT_number 11
loop_
_space_group_symop_operation_xyz
'x,y,z'
'-x,-y,-z'
'-x,y+1/2,-z'
'x,-y+1/2,z'
loop_
_atom_site_label
_atom_site_type_symbol
_atom_site_fract_x
_atom_site_fract_y
_atom_site_fract_z
_atom_site_occupancy
Sm1 Sm 0.146 0.250 0.096 1
Sm2 Sm 0.150 0.250 0.474 1
Sm3 Sm 0.298 0.750 0.820 1
Ga1 Ga 0.042 0.250 0.758 1
Br1 Br 0.415 0.750 0.140 1
Cl1 Cl 0.371 0.750 0.557 1
```

Nd2HgOs: relaxed, PBE.

Fermi-level density of states	12.39	states/eV per cell
DFT total energy	-5.389	eV per atom
crystal system	cubic

Structure (CIF):
```
data_Nd2HgOs
_cell_length_a 7.328
_cell_length_b 7.328
_cell_length_c 7.328
_cell_angle_alpha 90.00
_cell_angle_beta 90.00
_cell_angle_gamma 90.00
_space_group_name_H-M_alt 'F m -3 m'
_space_group_IT_number 225
_space_group_name_Hall '-F 4 2 3'
loop_
_atom_site_label
_atom_site_type_symbol
_atom_site_fract_x
_atom_site_fract_y
_atom_site_fract_z
_atom_site_occupancy
Nd1 Nd 0.250 0.250 0.250 1
Hg1 Hg 0.000 0.000 0.000 1
Os1 Os 0.000 0.000 0.500 1
```

Na4PmU3N8: relaxed, PBE.

Fermi-level density of states	14.17	states/eV per cell
formation energy from raw total energies	-1037	meV/atom
crystal system	trigonal

Structure (CIF):
```
data_Na4PmU3N8
_cell_length_a 7.0531
_cell_length_b 7.0531
_cell_length_c 17.0344
_cell_angle_alpha 90.00
_cell_angle_beta 90.00
_cell_angle_gamma 120.00
_space_group_name_H-M_alt 'R -3 m'
_space_group_IT_number 166
_space_group_name_Hall '-R 3 2"'
loop_
_atom_site_label
_atom_site_type_symbol
_atom_site_fract_x
_atom_site_fract_y
_atom_site_fract_z
_atom_site_occupancy
Na1 Na 0.0000 0.0000 0.0000 1
Na2 Na 0.0000 0.5000 0.0000 1
Pm1 Pm 0.0000 0.0000 0.5000 1
U1 U 0.0000 0.5000 0.5000 1
N1 N 0.0000 0.0000 0.2291 1
N2 N 0.0302 0.5151 0.7728 1
```

K2HfW: relaxed, PBE.

Fermi-level density of states	2.76	states/eV per cell
DFT total energy	-3.959	eV per atom
crystal system	cubic

Structure (CIF):
```
data_K2HfW
_cell_length_a 7.863
_cell_length_b 7.863
_cell_length_c 7.863
_cell_angle_alpha 90.00
_cell_angle_beta 90.00
_cell_angle_gamma 90.00
_space_group_name_H-M_alt 'F m -3 m'
_space_group_IT_number 225
_space_group_name_Hall '-F 4 2 3'
loop_
_atom_site_label
_atom_site_type_symbol
_atom_site_fract_x
_atom_site_fract_y
_atom_site_fract_z
_atom_site_occupancy
K1 K 0.250 0.250 0.250 1
Hf1 Hf 0.000 0.000 0.000 1
W1 W 0.000 0.000 0.500 1
```

Ba2TeIrO6: relaxed, PBE.

formation energy from raw total energies	-1629	meV/atom
crystal system	trigonal

Structure (CIF):
```
data_Ba2TeIrO6
_cell_length_a 5.8828
_cell_length_b 5.8828
_cell_length_c 31.8007
_cell_angle_alpha 90.00
_cell_angle_beta 90.00
_cell_angle_gamma 120.00
_space_group_name_H-M_alt 'R -3 m'
_space_group_IT_number 166
_space_group_name_Hall '-R 3 2"'
loop_
_atom_site_label
_atom_site_type_symbol
_atom_site_fract_x
_atom_site_fract_y
_atom_site_fract_z
_atom_site_occupancy
Ba1 Ba 0.0000 0.0000 0.1132 1
Ba2 Ba 0.0000 0.0000 0.2955 1
Te1 Te 0.0000 0.0000 0.0000 1
Te2 Te 0.0000 0.0000 0.5000 1
Ir1 Ir 0.0000 0.0000 0.4119 1
O1 O 0.0062 0.5031 0.2943 1
O2 O 0.0371 0.5186 0.1240 1
```

NaNbHg: relaxed, PBE.

Fermi-level density of states	2.50	states/eV per cell
DFT total energy	-3.236	eV per atom
crystal system	hexagonal

Structure (CIF):
```
data_NaNbHg
_cell_length_a 5.0683
_cell_length_b 5.0683
_cell_length_c 2.9030
_cell_angle_alpha 90.00
_cell_angle_beta 90.00
_cell_angle_gamma 120.00
_space_group_name_H-M_alt 'P -6 m 2'
_space_group_IT_number 187
_space_group_name_Hall 'P -6 2'
loop_
_atom_site_label
_atom_site_type_symbol
_atom_site_fract_x
_atom_site_fract_y
_atom_site_fract_z
_atom_site_occupancy
Na1 Na 0.0000 0.0000 0.0000 1
Nb1 Nb 0.6667 0.3333 0.5000 1
Hg1 Hg 0.3333 0.6667 0.5000 1
```